MnReAs2 | GGA-PBE | relaxed

```
data_MnReAs2
_symmetry_space_group_name_H-M 'C m m m'
_symmetry_Int_Tables_number 65
_symmetry_space_group_name_Hall '-C 2 2'
_cell_length_a 3.068
_cell_length_b 5.067
_cell_length_c 8.146
_cell_angle_alpha 90.00
_cell_angle_beta 90.00
_cell_angle_gamma 90.00
loop_
_atom_site_label
_atom_site_type_symbol
_atom_site_fract_x
_atom_site_fract_y
_atom_site_fract_z
Mn1 Mn 0.000 0.000 0.000
Re1 Re 0.000 0.000 0.500
As1 As 0.000 0.500 0.249
```

Values from the calculation:
Offset from the most stable computed form (meV per atom): 409
Magnetization (μB/f.u.): 3.1
E (eV per atom): -7.26
DOS(E_F) (states/eV per atom): 0.79

---

CeNi8Au3 | GGA-PBE | relaxed

```
data_CeNi8Au3
_symmetry_space_group_name_H-M 'P 3 m 1'
_symmetry_Int_Tables_number 156
_symmetry_space_group_name_Hall 'P 3 -2"'
_cell_length_a 4.9188
_cell_length_b 4.9188
_cell_length_c 7.9329
_cell_angle_alpha 90.00
_cell_angle_beta 90.00
_cell_angle_gamma 120.00
loop_
_atom_site_label
_atom_site_type_symbol
_atom_site_fract_x
_atom_site_fract_y
_atom_site_fract_z
Ce1 Ce 0.0000 0.0000 0.0000
Ni1 Ni 0.1664 0.3328 0.6797
Ni2 Ni 0.3333 0.6667 0.4280
Ni3 Ni 0.3333 0.6667 0.9304
Ni4 Ni 0.5021 0.0043 0.1844
Au1 Au 0.0000 0.0000 0.3858
Au2 Au 0.6667 0.3333 0.4901
Au3 Au 0.6667 0.3333 0.8569
```

Values from the calculation:
Magnetization (μB/f.u.): 2.5
E (eV per atom): -5.29
DOS(E_F) (states/eV per atom): 1.12

---

NaZnPt2 | GGA-PBE | relaxed

```
data_NaZnPt2
_symmetry_space_group_name_H-M 'P 4/m m m'
_symmetry_Int_Tables_number 123
_symmetry_space_group_name_Hall '-P 4 2'
_cell_length_a 2.842
_cell_length_b 2.842
_cell_length_c 8.129
_cell_angle_alpha 90.00
_cell_angle_beta 90.00
_cell_angle_gamma 90.00
loop_
_atom_site_label
_atom_site_type_symbol
_atom_site_fract_x
_atom_site_fract_y
_atom_site_fract_z
Na1 Na 0.000 0.000 0.000
Zn1 Zn 0.000 0.000 0.500
Pt1 Pt 0.500 0.500 0.284
```

Values from the calculation:
Magnetization (μB/f.u.): 0.0
E (eV per atom): -4.03
DOS(E_F) (states/eV per atom): 0.33